Run P
Ho2ThSc2 (PBE, optimized geometry); calculated density = 7.5 g/cm3
1.0
3.208 -5.172 0.000
3.208 5.172 0.000
-2.732 0.000 8.728
Ho Th Sc
4 2 4
direct
0.016 0.016 0.332
0.277 0.277 0.071
0.723 0.723 0.929
0.984 0.984 0.668
0.328 0.672 0.500
0.672 0.328 0.500
0.124 0.559 0.827
0.441 0.876 0.173
0.559 0.124 0.827
0.876 0.441 0.173

***

Run Q
Ho2ThSc2 (PBE, optimized geometry); calculated density = 7.6 g/cm3
1.0
2.631 -8.090 0.000
2.631 8.090 0.000
0.000 0.000 6.729
Ho Th Sc
4 2 4
direct
0.002 0.998 0.500
0.201 0.799 0.985
0.799 0.201 0.485
0.998 0.002 0.000
0.393 0.607 0.742
0.607 0.393 0.242
0.200 0.800 0.489
0.386 0.614 0.239
0.614 0.386 0.739
0.800 0.200 0.989

***

Which of them is the least stable? Correct choice: run P.

***

Run P
HoTmThSc (PBE, optimized geometry); calculated density = 8.6 g/cm3
1.0
1.759 1.016 11.008
-1.759 1.016 11.008
0.000 -2.031 11.008
Ho Tm Th Sc
1 1 1 1
direct
0.000 0.000 0.000
0.247 0.247 0.247
0.418 0.418 0.418
0.833 0.833 0.833

***

Run Q
HoTmThSc (PBE, optimized geometry); calculated density = 8.6 g/cm3
1.0
0.000 3.897 3.897
3.897 0.000 3.897
3.897 3.897 0.000
Ho Tm Th Sc
1 1 1 1
direct
0.000 0.000 0.000
0.750 0.750 0.750
0.500 0.500 0.500
0.250 0.250 0.250

***

Which of them is the least stable? Correct choice: run Q.